[1]
First-principles (PBE) data for crystalline PrTa at its relaxed geometry, as listed in OQMD.

Summary:
- energy of formation from the pure elements (eV/atom) = 0.7232

Structure (POSCAR):
```
PrTa
1.0
-3.1453 -0.4181 0.1336
1.7311 -1.6336 -2.1023
0.7006 -4.0751 3.7434
Pr Ta
1 1
direct
0.6667 0.3333 0.7500
0.3333 0.6667 0.2500
```

[2]
First-principles (PBE) data for crystalline PrTa at its relaxed geometry, as listed in OQMD.

Summary:
- energy of formation from the pure elements (eV/atom) = 2.6212

Structure (POSCAR):
```
PrTa
1.0
0.0000 3.2596 3.2596
3.2596 0.0000 3.2596
3.2596 3.2596 0.0000
Pr Ta
1 1
direct
0.0000 0.0000 0.0000
0.2500 0.2500 0.2500
```

[3]
First-principles (PBE) data for crystalline Pr2Ta at its relaxed geometry, as listed in OQMD.

Summary:
- energy of formation from the pure elements (eV/atom) = 0.9193

Structure (POSCAR):
```
Pr2Ta
1.0
-2.3025 -4.3223 -1.6028
-3.6218 -2.2231 2.9144
-4.9315 0.1081 -1.4905
Pr Ta
2 1
direct
0.2500 0.2500 0.2500
0.7500 0.7500 0.7500
0.0000 0.0000 0.0000
```

[4]
First-principles (PBE) data for crystalline PrTaTe at its relaxed geometry, as listed in OQMD.

Structure (POSCAR):
```
PrTaTe
1.0
0.0000 3.4805 3.4805
3.4805 0.0000 3.4805
3.4805 3.4805 0.0000
Pr Ta Te
1 1 1
direct
0.2500 0.2500 0.2500
0.7500 0.7500 0.7500
0.0000 0.0000 0.0000
```

no.,total magnetization (μB per formula unit),offset from the most stable computed form (eV per atom)
1,0.02,0.000
2,0.26,1.898
3,1.37,0.000
4,0.00,0.000